Entry 1:
VASP calculation (PBE) on an optimized crystal structure of AlCd2Re.

Output
raw total energy	-16.567	eV per cell
theoretical density	10.20	g/cm³
formation energy	0.36	eV per atom
spin magnetization	0.0	Bohr magnetons per cell

CIF file:
```
data_AlCd2Re
_space_group_name_H-M_alt 'P 1 2/m 1'
_space_group_IT_number 10
_space_group_name_Hall '-P 2y'
_cell_length_a 2.766
_cell_length_b 5.228
_cell_length_c 4.936
_cell_angle_alpha 90.00
_cell_angle_beta 91.99
_cell_angle_gamma 90.00
loop_
_atom_site_label
_atom_site_type_symbol
_atom_site_fract_x
_atom_site_fract_y
_atom_site_fract_z
_atom_site_occupancy
Al1 Al 0.000 0.000 0.000 1
Cd1 Cd 0.239 0.500 0.748 1
Re1 Re 0.500 0.000 0.500 1
```

***

Entry 2:
VASP calculation (PBE) on an optimized crystal structure of BaZrGeIr2.

Output
raw total energy	-30.880	eV per cell
theoretical density	8.49	g/cm³
formation energy	0.39	eV per atom
spin magnetization	0.0	Bohr magnetons per cell

CIF file:
```
data_BaZrGeIr2
_space_group_name_H-M_alt 'P 4/m m m'
_space_group_IT_number 123
_space_group_name_Hall '-P 4 2'
_cell_length_a 5.050
_cell_length_b 5.050
_cell_length_c 5.257
_cell_angle_alpha 90.00
_cell_angle_beta 90.00
_cell_angle_gamma 90.00
loop_
_atom_site_label
_atom_site_type_symbol
_atom_site_fract_x
_atom_site_fract_y
_atom_site_fract_z
_atom_site_occupancy
Ba1 Ba 0.000 0.000 0.000 1
Zr1 Zr 0.500 0.500 0.500 1
Ge1 Ge 0.500 0.500 0.000 1
Ir1 Ir 0.000 0.500 0.500 1
```

***

Entry 3:
VASP calculation (PBE) on an optimized crystal structure of Sm2HgAu3.

Output
raw total energy	-46.509	eV per cell
theoretical density	12.04	g/cm³
energy relative to the lowest polymorph listed for this composition	35.3	kJ/mol of formula units
formation energy	-0.61	eV per atom
spin magnetization	0.0	Bohr magnetons per cell

CIF file:
```
data_Sm2HgAu3
_space_group_name_H-M_alt 'I m m 2'
_space_group_IT_number 44
_space_group_name_Hall 'I 2 -2'
_cell_length_a 3.955
_cell_length_b 4.051
_cell_length_c 18.810
_cell_angle_alpha 90.00
_cell_angle_beta 90.00
_cell_angle_gamma 90.00
loop_
_atom_site_label
_atom_site_type_symbol
_atom_site_fract_x
_atom_site_fract_y
_atom_site_fract_z
_atom_site_occupancy
Sm1 Sm 0.000 0.000 0.000 1
Sm2 Sm 0.000 0.500 0.228 1
Hg1 Hg 0.000 0.000 0.406 1
Au1 Au 0.000 0.000 0.559 1
Au2 Au 0.000 0.500 0.657 1
Au3 Au 0.000 0.500 0.803 1
```

***

Entry 4:
VASP calculation (PBE) on an optimized crystal structure of MgSbBr2.

Output
energy relative to the elements, uncorrected	-186	meV per atom
raw total energy	-29.422	eV per cell
theoretical density	4.47	g/cm³
energy relative to the lowest polymorph listed for this composition	222.7	kJ/mol of formula units
spin magnetization	0.0	Bohr magnetons per cell

CIF file:
```
data_MgSbBr2
_space_group_name_H-M_alt 'R -3 m'
_space_group_IT_number 166
_space_group_name_Hall '-R 3 2"'
_cell_length_a 3.6209
_cell_length_b 3.6209
_cell_length_c 30.0532
_cell_angle_alpha 90.00
_cell_angle_beta 90.00
_cell_angle_gamma 120.00
loop_
_atom_site_label
_atom_site_type_symbol
_atom_site_fract_x
_atom_site_fract_y
_atom_site_fract_z
_atom_site_occupancy
Mg1 Mg 0.0000 0.0000 0.0000 1
Sb1 Sb 0.0000 0.0000 0.5000 1
Br1 Br 0.0000 0.0000 0.0854 1
```

***

> The lowest theoretical density belongs to which entry?

MgSbBr2